First-principles (GGA-PBE) data for a relaxed structure of NaCa2Tl, as listed in Alexandria via LeMat-Bulk. Values from VASP.

Quantum ESPRESSO input file:
```
&SYSTEM
  ibrav = 0, nat = 16, ntyp = 3
/
ATOMIC_SPECIES
Na 22.99 Na.upf
Ca 40.08 Ca.upf
Tl 204.38 Tl.upf
CELL_PARAMETERS angstrom
7.917 0.000 0.000
0.000 7.917 0.000
0.000 0.000 7.917
ATOMIC_POSITIONS crystal
Na 0.000 0.000 0.000
Na 0.000 0.500 0.500
Na 0.500 0.000 0.500
Na 0.500 0.500 0.000
Ca 0.250 0.250 0.250
Ca 0.250 0.250 0.750
Ca 0.250 0.750 0.250
Ca 0.250 0.750 0.750
Ca 0.750 0.250 0.250
Ca 0.750 0.250 0.750
Ca 0.750 0.750 0.250
Ca 0.750 0.750 0.750
Tl 0.000 0.000 0.500
Tl 0.000 0.500 0.000
Tl 0.500 0.000 0.000
Tl 0.500 0.500 0.500
```


First-principles (GGA-PBE) data for a relaxed structure of NaCa3Tl12, as listed in Alexandria via LeMat-Bulk. Values from VASP.

Quantum ESPRESSO input file:
```
&SYSTEM
  ibrav = 0, nat = 16, ntyp = 3
/
ATOMIC_SPECIES
Na 22.99 Na.upf
Ca 40.08 Ca.upf
Tl 204.38 Tl.upf
CELL_PARAMETERS angstrom
4.921 0.000 0.000
0.000 4.921 0.000
0.000 0.000 19.041
ATOMIC_POSITIONS crystal
Na 0.000 0.000 0.000
Ca 0.000 0.000 0.250
Ca 0.000 0.000 0.500
Ca 0.000 0.000 0.750
Tl 0.000 0.500 0.124
Tl 0.000 0.500 0.374
Tl 0.000 0.500 0.626
Tl 0.000 0.500 0.876
Tl 0.500 0.000 0.124
Tl 0.500 0.000 0.374
Tl 0.500 0.000 0.626
Tl 0.500 0.000 0.876
Tl 0.500 0.500 0.000
Tl 0.500 0.500 0.249
Tl 0.500 0.500 0.500
Tl 0.500 0.500 0.751
```


First-principles (GGA-PBE) data for a relaxed structure of NaCa3Tl, as listed in Alexandria via LeMat-Bulk. Values from VASP.

Quantum ESPRESSO input file:
```
&SYSTEM
  ibrav = 0, nat = 5, ntyp = 3
/
ATOMIC_SPECIES
Na 22.99 Na.upf
Ca 40.08 Ca.upf
Tl 204.38 Tl.upf
CELL_PARAMETERS angstrom
6.073 0.000 0.000
0.000 6.073 0.000
0.000 0.000 6.073
ATOMIC_POSITIONS crystal
Na 0.000 0.000 0.000
Ca 0.000 0.500 0.500
Ca 0.500 0.000 0.500
Ca 0.500 0.500 0.000
Tl 0.500 0.500 0.500
```


First-principles (GGA-PBE) data for a relaxed structure of Na3CaTl12, as listed in Alexandria via LeMat-Bulk. Values from VASP.

Quantum ESPRESSO input file:
```
&SYSTEM
  ibrav = 0, nat = 16, ntyp = 3
/
ATOMIC_SPECIES
Na 22.99 Na.upf
Ca 40.08 Ca.upf
Tl 204.38 Tl.upf
CELL_PARAMETERS angstrom
4.923 0.000 0.000
0.000 4.923 0.000
0.000 0.000 19.057
ATOMIC_POSITIONS crystal
Na 0.000 0.000 0.000
Na 0.000 0.000 0.252
Na 0.000 0.000 0.748
Ca 0.000 0.000 0.500
Tl 0.000 0.500 0.125
Tl 0.000 0.500 0.374
Tl 0.000 0.500 0.626
Tl 0.000 0.500 0.875
Tl 0.500 0.000 0.125
Tl 0.500 0.000 0.374
Tl 0.500 0.000 0.626
Tl 0.500 0.000 0.875
Tl 0.500 0.500 0.000
Tl 0.500 0.500 0.250
Tl 0.500 0.500 0.500
Tl 0.500 0.500 0.750
```


First-principles (GGA-PBE) data for a relaxed structure of Na2CaTl2, as listed in Alexandria via LeMat-Bulk. Values from VASP.

Quantum ESPRESSO input file:
```
&SYSTEM
  ibrav = 0, nat = 10, ntyp = 3
/
ATOMIC_SPECIES
Na 22.99 Na.upf
Ca 40.08 Ca.upf
Tl 204.38 Tl.upf
CELL_PARAMETERS angstrom
-1.917 2.587 15.658
1.917 -2.587 15.658
1.917 2.587 -15.658
ATOMIC_POSITIONS crystal
Na 0.043 0.293 0.750
Na 0.436 0.186 0.250
Na 0.564 0.814 0.750
Na 0.957 0.707 0.250
Ca 0.322 0.572 0.750
Ca 0.678 0.428 0.250
Tl 0.126 0.876 0.250
Tl 0.224 0.974 0.250
Tl 0.776 0.026 0.750
Tl 0.874 0.124 0.750
```


First-principles (GGA-PBE) data for a relaxed structure of NaCaTl, as listed in Alexandria via LeMat-Bulk. Values from VASP.

Quantum ESPRESSO input file:
```
&SYSTEM
  ibrav = 0, nat = 6, ntyp = 3
/
ATOMIC_SPECIES
Na 22.99 Na.upf
Ca 40.08 Ca.upf
Tl 204.38 Tl.upf
CELL_PARAMETERS angstrom
5.750 0.000 0.000
0.000 5.850 0.000
-2.865 0.000 5.430
ATOMIC_POSITIONS crystal
Na 0.063 0.250 0.118
Na 0.937 0.750 0.882
Ca 0.270 0.750 0.546
Ca 0.730 0.250 0.454
Tl 0.410 0.250 0.815
Tl 0.590 0.750 0.185
```


First-principles (GGA-PBE) data for a relaxed structure of Na2CaTl3, as listed in Alexandria via LeMat-Bulk. Values from VASP.

Quantum ESPRESSO input file:
```
&SYSTEM
  ibrav = 0, nat = 6, ntyp = 3
/
ATOMIC_SPECIES
Na 22.99 Na.upf
Ca 40.08 Ca.upf
Tl 204.38 Tl.upf
CELL_PARAMETERS angstrom
3.912 0.000 0.000
0.000 3.912 0.000
0.000 0.000 11.199
ATOMIC_POSITIONS crystal
Na 0.000 0.000 0.165
Na 0.000 0.000 0.835
Ca 0.000 0.000 0.500
Tl 0.500 0.500 0.000
Tl 0.500 0.500 0.326
Tl 0.500 0.500 0.674
```


First-principles (GGA-PBE) data for a relaxed structure of NaCaTl14, as listed in Alexandria via LeMat-Bulk. Values from VASP.

Quantum ESPRESSO input file:
```
&SYSTEM
  ibrav = 0, nat = 16, ntyp = 3
/
ATOMIC_SPECIES
Na 22.99 Na.upf
Ca 40.08 Ca.upf
Tl 204.38 Tl.upf
CELL_PARAMETERS angstrom
10.927 0.000 0.000
0.000 4.030 5.488
0.000 -4.030 5.488
ATOMIC_POSITIONS crystal
Na 0.000 0.000 0.000
Ca 0.000 0.534 0.534
Tl 0.000 0.047 0.488
Tl 0.000 0.488 0.047
Tl 0.239 0.782 0.782
Tl 0.247 0.277 0.803
Tl 0.247 0.803 0.277
Tl 0.261 0.298 0.298
Tl 0.500 0.019 0.546
Tl 0.500 0.037 0.037
Tl 0.500 0.528 0.528
Tl 0.500 0.546 0.019
Tl 0.739 0.298 0.298
Tl 0.753 0.277 0.803
Tl 0.753 0.803 0.277
Tl 0.761 0.782 0.782
```


First-principles (GGA-PBE) data for a relaxed structure of NaCa3Tl4, as listed in Alexandria via LeMat-Bulk. Values from VASP.

Quantum ESPRESSO input file:
```
&SYSTEM
  ibrav = 0, nat = 8, ntyp = 3
/
ATOMIC_SPECIES
Na 22.99 Na.upf
Ca 40.08 Ca.upf
Tl 204.38 Tl.upf
CELL_PARAMETERS angstrom
3.887 0.000 0.000
0.000 5.468 0.000
0.000 0.000 10.940
ATOMIC_POSITIONS crystal
Na 0.000 0.000 0.000
Ca 0.000 0.000 0.500
Ca 0.000 0.500 0.248
Ca 0.000 0.500 0.752
Tl 0.500 0.000 0.247
Tl 0.500 0.000 0.753
Tl 0.500 0.500 0.000
Tl 0.500 0.500 0.500
```


First-principles (GGA-PBE) data for a relaxed structure of Na3CaTl, as listed in Alexandria via LeMat-Bulk. Values from VASP.

Quantum ESPRESSO input file:
```
&SYSTEM
  ibrav = 0, nat = 5, ntyp = 3
/
ATOMIC_SPECIES
Na 22.99 Na.upf
Ca 40.08 Ca.upf
Tl 204.38 Tl.upf
CELL_PARAMETERS angstrom
6.397 0.000 0.000
0.000 6.397 0.000
0.000 0.000 6.397
ATOMIC_POSITIONS crystal
Na 0.000 0.000 0.500
Na 0.000 0.500 0.000
Na 0.500 0.000 0.000
Ca 0.000 0.000 0.000
Tl 0.500 0.500 0.500
```


First-principles (GGA-PBE) data for a relaxed structure of NaCa4Tl5, as listed in Alexandria via LeMat-Bulk. Values from VASP.

Quantum ESPRESSO input file:
```
&SYSTEM
  ibrav = 0, nat = 10, ntyp = 3
/
ATOMIC_SPECIES
Na 22.99 Na.upf
Ca 40.08 Ca.upf
Tl 204.38 Tl.upf
CELL_PARAMETERS angstrom
3.868 0.000 0.000
0.000 3.868 0.000
0.000 0.000 19.524
ATOMIC_POSITIONS crystal
Na 0.000 0.000 0.000
Ca 0.000 0.000 0.198
Ca 0.000 0.000 0.399
Ca 0.000 0.000 0.601
Ca 0.000 0.000 0.802
Tl 0.500 0.500 0.096
Tl 0.500 0.500 0.298
Tl 0.500 0.500 0.500
Tl 0.500 0.500 0.702
Tl 0.500 0.500 0.904
```


First-principles (GGA-PBE) data for a relaxed structure of NaCa2Tl, as listed in Alexandria via LeMat-Bulk. Values from VASP.

Quantum ESPRESSO input file:
```
&SYSTEM
  ibrav = 0, nat = 16, ntyp = 3
/
ATOMIC_SPECIES
Na 22.99 Na.upf
Ca 40.08 Ca.upf
Tl 204.38 Tl.upf
CELL_PARAMETERS angstrom
9.004 0.000 0.000
0.000 9.004 0.000
0.000 0.000 7.145
ATOMIC_POSITIONS crystal
Na 0.000 0.000 0.000
Na 0.000 0.500 0.250
Na 0.500 0.000 0.750
Na 0.500 0.500 0.500
Ca 0.222 0.750 0.625
Ca 0.250 0.222 0.375
Ca 0.250 0.278 0.875
Ca 0.278 0.750 0.125
Ca 0.722 0.250 0.125
Ca 0.750 0.722 0.875
Ca 0.750 0.778 0.375
Ca 0.778 0.250 0.625
Tl 0.000 0.000 0.500
Tl 0.000 0.500 0.750
Tl 0.500 0.000 0.250
Tl 0.500 0.500 0.000
```


Number 1: ΔE_f -22.6 kJ per mole of atoms. Number 2: ΔE_f -18.0 kJ per mole of atoms. Number 3: ΔE_f -2.0 kJ per mole of atoms. Number 4: ΔE_f -10.5 kJ per mole of atoms. Number 5: ΔE_f -13.4 kJ per mole of atoms. Number 6: ΔE_f -18.5 kJ per mole of atoms. Number 7: ΔE_f -19.3 kJ per mole of atoms. Number 8: ΔE_f -5.6 kJ per mole of atoms. Number 9: ΔE_f -34.4 kJ per mole of atoms. Number 10: ΔE_f 53.3 kJ per mole of atoms. Number 11: ΔE_f -35.3 kJ per mole of atoms. Number 12: ΔE_f 0.9 kJ per mole of atoms.